# 1
! Al4AuSe7 (PBE, optimized geometry); values from VASP
&SYSTEM
  ibrav = 0, nat = 24, ntyp = 3
/
ATOMIC_SPECIES
Se 78.96 Se.upf
Al 26.98 Al.upf
Au 196.97 Au.upf
ATOMIC_POSITIONS angstrom
Se 5.9845 4.4926 9.5120
Se 2.8456 2.3596 5.7481
Se 2.6250 5.6110 0.0000
Se 2.6974 2.5223 12.8523
Se 2.8082 5.8959 3.8697
Se 5.9122 1.4038 7.4548
Se 6.1328 4.6553 1.7066
Se 6.0954 1.1190 3.5850
Se 5.9845 4.4926 5.3975
Se 2.6974 2.5223 2.0573
Se 2.8082 5.8959 11.0398
Se 6.1328 4.6553 13.2029
Se 2.8456 2.3596 9.1614
Se 6.0954 1.1190 11.3245
Al 0.4830 2.2945 9.3785
Al 0.4830 2.2945 5.5310
Al 3.6276 1.1855 3.8318
Al 3.7702 4.7204 1.9237
Al 3.7702 4.7204 12.9858
Al 0.3405 5.8293 11.2866
Al 3.6276 1.1855 11.0777
Al 0.3405 5.8293 3.6230
Au 3.0537 1.0716 0.0000
Au 6.3409 5.9433 7.4548
CELL_PARAMETERS angstrom
6.5743 0.0000 0.0000
0.0000 7.0149 0.0000
0.0000 0.0000 14.9095
! total moment: 0.0 μB/f.u.
! final energy: -4.20 eV per atom
! formation energy (no corrections): -0.64 eV/atom


# 2
! AlAuSe2 (PBE, optimized geometry); values from VASP
&SYSTEM
  ibrav = 0, nat = 4, ntyp = 3
/
ATOMIC_SPECIES
Se 78.96 Se.upf
Al 26.98 Al.upf
Au 196.97 Au.upf
ATOMIC_POSITIONS angstrom
Se 0.0000 0.0000 0.0000
Se -1.9953 -2.3670 -2.0936
Al -2.1236 0.6349 -2.0295
Au -2.2886 -1.7598 0.8351
CELL_PARAMETERS angstrom
-1.8304 0.0276 -4.9582
-2.1603 -4.7616 0.7710
-2.4169 1.2421 0.8991
! total moment: 0.0 μB/f.u.
! final energy: -3.29 eV per atom
! formation energy (no corrections): 0.21 eV/atom


# 3
! AlAuSe2 (PBE, optimized geometry); values from VASP
&SYSTEM
  ibrav = 0, nat = 4, ntyp = 3
/
ATOMIC_SPECIES
Se 78.96 Se.upf
Au 196.97 Au.upf
Al 26.98 Al.upf
ATOMIC_POSITIONS angstrom
Se 0.0000 0.3862 5.4164
Se 1.9568 1.8916 2.0678
Au 1.9568 3.6277 3.9639
Al 0.0000 1.8728 3.5602
CELL_PARAMETERS angstrom
3.9136 0.0000 0.0000
0.0000 4.5230 -0.2594
0.0000 0.3975 6.1590
! total moment: 0.0 μB/f.u.
! final energy: -3.93 eV per atom
! formation energy (no corrections): -0.43 eV/atom


# 4
! AlAuSe2 (PBE, optimized geometry); values from VASP
&SYSTEM
  ibrav = 0, nat = 8, ntyp = 3
/
ATOMIC_SPECIES
Se 78.96 Se.upf
Au 196.97 Au.upf
Al 26.98 Al.upf
ATOMIC_POSITIONS angstrom
Se 5.8395 -4.8563 -7.7636
Se 3.0717 -2.6608 -6.1996
Se -4.9953 -0.8135 8.9077
Se -2.2275 -3.0090 7.3436
Au 1.6690 -2.3396 -3.5727
Au -0.8248 -3.3302 4.7168
Al 4.2940 -2.9407 -8.4887
Al -3.4499 -2.7291 9.6328
CELL_PARAMETERS angstrom
-6.2473 0.2540 9.4427
4.2753 -2.1556 -10.2632
2.8162 -3.7683 1.9646
! total moment: 0.0 μB/f.u.
! final energy: -3.49 eV per atom
! formation energy (no corrections): 0.00 eV/atom


# 5
! Al2AuSe (PBE, optimized geometry); values from VASP
&SYSTEM
  ibrav = 0, nat = 4, ntyp = 3
/
ATOMIC_SPECIES
Au 196.97 Au.upf
Al 26.98 Al.upf
Se 78.96 Se.upf
ATOMIC_POSITIONS angstrom
Au 1.6808 -0.9052 1.7839
Al 3.6635 -6.5901 1.4917
Al 1.8372 -3.3049 0.7481
Se -1.4206 -2.5540 2.1165
CELL_PARAMETERS angstrom
-1.2678 -4.9471 1.0792
4.9350 -1.6496 0.4139
-3.4070 3.1375 2.4072
! total moment: 0.0 μB/f.u.
! final energy: -3.66 eV per atom
! formation energy (no corrections): -0.10 eV/atom


# 6
! AlAuSe2 (PBE, optimized geometry); values from VASP
&SYSTEM
  ibrav = 0, nat = 8, ntyp = 3
/
ATOMIC_SPECIES
Se 78.96 Se.upf
Al 26.98 Al.upf
Au 196.97 Au.upf
ATOMIC_POSITIONS angstrom
Se 1.5492 -3.0624 4.6503
Se 4.1995 0.6350 2.7856
Se 1.1858 -0.8895 1.9610
Se 4.5629 -1.5380 5.4748
Al 4.9181 -1.3270 8.4373
Al 2.0438 -0.1133 4.7194
Au 1.9238 -2.4709 7.2106
Au 5.0381 1.0306 5.9460
CELL_PARAMETERS angstrom
-0.2399 -4.7152 4.9825
5.9887 2.2878 2.4533
1.2131 0.9872 5.7208
! total moment: 0.0 μB/f.u.
! final energy: -3.37 eV per atom
! formation energy (no corrections): 0.13 eV/atom


# 7
! AlAuSe2 (PBE, optimized geometry); values from VASP
&SYSTEM
  ibrav = 0, nat = 4, ntyp = 3
/
ATOMIC_SPECIES
Al 26.98 Al.upf
Se 78.96 Se.upf
Au 196.97 Au.upf
ATOMIC_POSITIONS angstrom
Al 1.6566 1.6566 1.7593
Se 0.0000 0.0000 0.2323
Se 0.0000 0.0000 3.2864
Au 1.6566 1.6566 5.2780
CELL_PARAMETERS angstrom
3.3132 0.0000 0.0000
0.0000 3.3132 0.0000
0.0000 0.0000 7.0373
! total moment: 0.0 μB/f.u.
! final energy: -3.33 eV per atom
! formation energy (no corrections): 0.16 eV/atom


# 8
! AlAuSe2 (PBE, optimized geometry); values from VASP
&SYSTEM
  ibrav = 0, nat = 16, ntyp = 3
/
ATOMIC_SPECIES
Al 26.98 Al.upf
Au 196.97 Au.upf
Se 78.96 Se.upf
ATOMIC_POSITIONS angstrom
Al 3.7912 1.2328 0.3011
Al 3.0023 7.9268 3.6444
Al 6.3991 5.8127 3.6444
Al 0.3945 3.3470 0.3011
Au 6.5348 2.2457 2.8569
Au 0.2588 6.9139 6.2002
Au 3.6555 6.8256 6.2002
Au 3.1380 2.3341 2.8569
Se 3.9745 5.7254 4.0027
Se 2.7518 8.3887 1.1962
Se 0.5778 8.0141 4.0027
Se 4.0417 0.7710 4.5395
Se 6.1486 5.3509 1.1962
Se 6.2157 1.1455 0.6594
Se 2.8190 3.4343 0.6594
Se 0.6450 3.8088 4.5395
CELL_PARAMETERS angstrom
6.7935 0.0000 0.0000
0.0000 9.1597 0.0000
0.0000 0.0000 6.6866
! total moment: 0.0 μB/f.u.
! final energy: -4.02 eV per atom
! formation energy (no corrections): -0.52 eV/atom


Question: Among the records above, which one has the highest formation energy (no corrections)?
Answer: number 2